(1)
! PBE Ba5SrP4, optimized geometry; values from VASP
! Fermi-level density of states: 0.26 states/eV/cell
! space-group type: C2/m (12)
! energy of formation from the pure elements: -0.9371 eV/atom
! theoretical density: 3.78 Mg/m³
&SYSTEM
  ibrav = 0, nat = 10, ntyp = 3
/
ATOMIC_SPECIES
Ba 137.33 Ba.upf
Sr 87.62 Sr.upf
P 30.97 P.upf
CELL_PARAMETERS angstrom
-0.2395 2.6868 3.8578
-3.2960 -6.8336 4.5546
10.5416 -0.5607 -1.8269
ATOMIC_POSITIONS crystal
Ba 0.8350 0.6093 0.6701
Ba 0.8353 0.0617 0.6705
Ba 0.1647 0.9383 0.3295
Ba 0.5000 0.5000 0.0000
Ba 0.1650 0.3907 0.3299
Sr 0.5000 0.0000 0.0000
P 0.2895 0.7899 0.5791
P 0.9998 0.7541 0.9996
P 0.7105 0.2101 0.4209
P 0.0002 0.2459 0.0004



(2)
! PBE K2CaO6, optimized geometry; values from VASP
! Fermi-level density of states: 0.89 states/eV/cell
! space-group type: P-31m (162)
! theoretical density: 2.42 Mg/m³
! formation energy without anion corrections: -7.298 eV per formula unit
&SYSTEM
  ibrav = 0, nat = 9, ntyp = 3
/
ATOMIC_SPECIES
K 39.10 K.upf
Ca 40.08 Ca.upf
O 16.00 O.upf
CELL_PARAMETERS angstrom
5.3600 0.0000 0.0000
0.0000 4.8742 -2.8094
0.0000 -0.0034 5.6256
ATOMIC_POSITIONS crystal
K 0.5000 0.3333 0.6667
K 0.5000 0.6667 0.3333
Ca 0.0000 0.0000 0.0000
O 0.8797 0.0000 0.5436
O 0.8797 0.5436 0.0000
O 0.8797 0.4563 0.4563
O 0.1203 0.4564 0.0000
O 0.1203 0.0000 0.4564
O 0.1203 0.5437 0.5437



(3)
! PBE Ba3Na2In2Hg4, optimized geometry; values from VASP
! Fermi-level density of states: 8.58 states/eV/cell
! space-group type: P-3m1 (164)
! energy of formation from the pure elements: -0.3721 eV/atom
! theoretical density: 6.39 Mg/m³
&SYSTEM
  ibrav = 0, nat = 11, ntyp = 4
/
ATOMIC_SPECIES
Ba 137.33 Ba.upf
Na 22.99 Na.upf
In 114.82 In.upf
Hg 200.59 Hg.upf
CELL_PARAMETERS angstrom
5.2134 0.0000 0.0000
-2.6067 4.5150 0.0000
0.0000 0.0000 16.4395
ATOMIC_POSITIONS crystal
Ba 0.0000 0.0000 0.7396
Ba 0.0000 0.0000 0.0000
Ba 0.0000 0.0000 0.2604
Na 0.6667 0.3333 0.4405
Na 0.3333 0.6667 0.5595
In 0.6667 0.3333 0.8655
In 0.3333 0.6667 0.1345
Hg 0.6667 0.3333 0.1270
Hg 0.3333 0.6667 0.8730
Hg 0.6667 0.3333 0.6349
Hg 0.3333 0.6667 0.3651



(4)
! PBE NaAlGe2S6, optimized geometry; values from VASP
! Fermi-level density of states: 0.00 states/eV/cell
! space-group type: C2/c (15)
! theoretical density: 2.61 Mg/m³
! formation energy without anion corrections: -5.750 eV per formula unit
&SYSTEM
  ibrav = 0, nat = 20, ntyp = 4
/
ATOMIC_SPECIES
Na 22.99 Na.upf
Al 26.98 Al.upf
Ge 72.64 Ge.upf
S 32.06 S.upf
CELL_PARAMETERS angstrom
6.7769 0.1049 0.1088
2.3058 8.5762 -0.0571
2.3058 -0.3749 8.5682
ATOMIC_POSITIONS crystal
Na 0.2500 0.8749 0.1251
Na 0.7500 0.1251 0.8749
Al 0.2500 0.2058 0.7942
Al 0.7500 0.7942 0.2058
Ge 0.3178 0.7769 0.6226
Ge 0.1822 0.3774 0.2231
Ge 0.6822 0.2231 0.3774
Ge 0.8178 0.6226 0.7769
S 0.1745 0.9665 0.8149
S 0.3255 0.1851 0.0335
S 0.8255 0.0335 0.1851
S 0.6745 0.8149 0.9665
S 0.4248 0.8628 0.3832
S 0.0752 0.6168 0.1372
S 0.5752 0.1372 0.6168
S 0.9248 0.3832 0.8628
S 0.0461 0.6948 0.5733
S 0.4539 0.4267 0.3052
S 0.9539 0.3052 0.4267
S 0.5461 0.5733 0.6948



(5)
! PBE Li7Mg3Pd2, optimized geometry; values from VASP
! Fermi-level density of states: 3.85 states/eV/cell
! space-group type: P2/m (10)
! energy of formation from the pure elements: -0.2050 eV/atom
! theoretical density: 2.60 Mg/m³
&SYSTEM
  ibrav = 0, nat = 12, ntyp = 3
/
ATOMIC_SPECIES
Li 6.94 Li.upf
Mg 24.30 Mg.upf
Pd 106.42 Pd.upf
CELL_PARAMETERS angstrom
-1.9893 0.9857 -2.1129
-2.9694 -3.1362 1.3327
-4.7249 11.2035 9.6753
ATOMIC_POSITIONS crystal
Li 0.5000 0.7303 0.4527
Li 0.5000 0.2697 0.5473
Li 0.0000 0.5968 0.1589
Li 0.0000 0.0000 0.0000
Li 0.0000 0.4032 0.8411
Li 0.5000 0.8975 0.8255
Li 0.5000 0.1025 0.1745
Mg 0.5000 0.5000 0.0000
Mg 0.0000 0.1797 0.3418
Mg 0.0000 0.8203 0.6582
Pd 0.5000 0.6587 0.2924
Pd 0.5000 0.3413 0.7076



(6)
! PBE PmSmIr2, optimized geometry; values from VASP
! Fermi-level density of states: 2.61 states/eV/cell
! energy relative to the lowest polymorph listed for this composition: 4.17 kJ per mole of atoms
! space-group type: Fm-3m (225)
! energy of formation from the pure elements: -0.6185 eV/atom
! theoretical density: 13.01 Mg/m³
&SYSTEM
  ibrav = 0, nat = 4, ntyp = 3
/
ATOMIC_SPECIES
Ir 192.22 Ir.upf
Sm 150.36 Sm.upf
Pm 145.00 Pm.upf
CELL_PARAMETERS angstrom
-1.4695 1.1890 -4.5954
3.1642 -0.4232 -3.8077
-0.6631 -3.5654 -3.3969
ATOMIC_POSITIONS crystal
Ir 0.2500 0.2500 0.2500
Ir 0.7500 0.7500 0.7500
Sm 0.0000 0.0000 0.0000
Pm 0.5000 0.5000 0.5000



(7)
! PBE Li2BeBi4, optimized geometry; values from VASP
! Fermi-level density of states: 2.94 states/eV/cell
! space-group type: I4/mmm (139)
! energy of formation from the pure elements: 0.1719 eV/atom
! theoretical density: 7.23 Mg/m³
&SYSTEM
  ibrav = 0, nat = 7, ntyp = 3
/
ATOMIC_SPECIES
Be 9.01 Be.upf
Bi 208.98 Bi.upf
Li 6.94 Li.upf
CELL_PARAMETERS angstrom
5.4171 0.0000 0.0000
0.0000 5.4171 0.0000
2.7086 2.7086 6.7196
ATOMIC_POSITIONS crystal
Be 0.0000 0.0000 0.0000
Bi 0.8214 0.8214 0.3571
Bi 0.1786 0.1786 0.6429
Bi 0.0000 0.5000 0.0000
Bi 0.5000 0.0000 0.0000
Li 0.6078 0.6078 0.7844
Li 0.3922 0.3922 0.2156



(8)
! PBE Ho2ScPb, optimized geometry; values from VASP
! Fermi-level density of states: 7.05 states/eV/cell
! energy relative to the lowest polymorph listed for this composition: 17.55 kJ per mole of atoms
! space-group type: F-43m (216)
! energy of formation from the pure elements: -0.0722 eV/atom
! theoretical density: 9.06 Mg/m³
&SYSTEM
  ibrav = 0, nat = 4, ntyp = 3
/
ATOMIC_SPECIES
Ho 164.93 Ho.upf
Sc 44.96 Sc.upf
Pb 207.20 Pb.upf
CELL_PARAMETERS angstrom
5.3223 0.0000 0.0000
2.6611 4.6092 0.0000
2.6611 1.5364 4.3465
ATOMIC_POSITIONS crystal
Ho 0.0001 0.0001 0.9997
Ho 0.2500 0.2500 0.2501
Sc 0.4999 0.4999 0.5004
Pb 0.7501 0.7501 0.7498